1.
Compound: Ag2OsPb
Source: Alexandria via LeMat-Bulk
Functional: GGA-PBE
Structure: relaxed

Results
* formation energy: 660 meV per atom
* magnetization: 0.00 μB per atom

Cell: 9.8857 9.8857 9.8857 Å, 17.61 17.61 17.61°
Fractional coordinates of all 4 atoms:
1 Ag 0.0000 0.0000 0.0000
2 Ag 0.2550 0.2550 0.2550
3 Os 0.7434 0.7434 0.7434
4 Pb 0.4908 0.4908 0.4908


2.
Compound: SnMo2C
Source: Alexandria via LeMat-Bulk
Functional: GGA-PBE
Structure: relaxed

Results
* formation energy: -1 meV per atom
* magnetization: 0.00 μB per atom

Cell: 7.1536 7.1536 7.1536 Å, 25.61 25.61 25.61°
Fractional coordinates of all 4 atoms:
1 Sn 0.0000 0.0000 0.0000
2 Mo 0.2197 0.2197 0.2197
3 Mo 0.7803 0.7803 0.7803
4 C 0.5000 0.5000 0.5000


3.
Compound: Pu2ZnGa3
Source: Alexandria via LeMat-Bulk
Functional: GGA-PBE
Structure: relaxed

Results
* formation energy: -330 meV per atom
* magnetization: 1.92 μB per atom

Cell: 5.6702 5.6702 5.6702 Å, 132.09 108.45 90.76°
Fractional coordinates of all 6 atoms:
1 Pu 0.2493 0.0000 0.2493
2 Pu 0.7507 0.0000 0.7507
3 Zn 0.8318 0.3318 0.5000
4 Ga 0.1646 0.6646 0.5000
5 Ga 0.3343 0.3343 0.0000
6 Ga 0.6686 0.6686 0.0000


4.
Compound: ReB2Pd
Source: Alexandria via LeMat-Bulk
Functional: GGA-PBE
Structure: relaxed

Results
* formation energy: 599 meV per atom
* magnetization: 0.00 μB per atom

Cell: 5.7909 5.7909 5.7909 Å, 130.42 130.42 72.74°
Fractional coordinates of all 8 atoms:
1 Re 0.0000 0.0000 0.0000
2 Re 0.7500 0.2500 0.5000
3 B 0.1178 0.6250 0.9928
4 B 0.3750 0.3678 0.4928
5 B 0.6322 0.1250 0.0072
6 B 0.8750 0.8822 0.5072
7 Pd 0.2500 0.7500 0.5000
8 Pd 0.5000 0.5000 0.0000


- Look up the magnetization of the first one.
  0.00 μB per atom